[1]
# Ca2TaMnAl | Alexandria via LeMat-Bulk | PBE | relaxed
# Energy of formation from the pure elements = 6.373 eV/f.u.
data_Ca2TaMnAl
_chemical_formula_sum 'Ca2 Ta1 Mn1 Al1'
_cell_length_a 4.929
_cell_length_b 4.929
_cell_length_c 4.760
_cell_angle_alpha 90.00
_cell_angle_beta 90.00
_cell_angle_gamma 90.00
_symmetry_space_group_name_H-M 'P 1'
_symmetry_Int_Tables_number 1
loop_
_symmetry_equiv_pos_as_xyz
'x,y,z'
loop_
_atom_site_label
_atom_site_type_symbol
_atom_site_fract_x
_atom_site_fract_y
_atom_site_fract_z
Ca1 Ca 0.000 0.500 0.000
Ca2 Ca 0.500 0.000 0.000
Ta1 Ta 0.000 0.000 0.500
Mn1 Mn 0.500 0.500 0.000
Al1 Al 0.500 0.500 0.500



[2]
# BaHgCl6 | Alexandria via LeMat-Bulk | PBE | relaxed
# DFT total energy = -21.153 eV per cell
data_BaHgCl6
_chemical_formula_sum 'Ba1 Hg1 Cl6'
_cell_length_a 6.363
_cell_length_b 6.363
_cell_length_c 6.363
_cell_angle_alpha 103.18
_cell_angle_beta 103.18
_cell_angle_gamma 103.18
_symmetry_space_group_name_H-M 'P 1'
_symmetry_Int_Tables_number 1
loop_
_symmetry_equiv_pos_as_xyz
'x,y,z'
loop_
_atom_site_label
_atom_site_type_symbol
_atom_site_fract_x
_atom_site_fract_y
_atom_site_fract_z
Ba1 Ba 0.000 0.000 0.000
Hg1 Hg 0.500 0.500 0.500
Cl1 Cl 0.185 0.185 0.539
Cl2 Cl 0.185 0.539 0.185
Cl3 Cl 0.461 0.815 0.815
Cl4 Cl 0.539 0.185 0.185
Cl5 Cl 0.815 0.461 0.815
Cl6 Cl 0.815 0.815 0.461



Computed values of size of the total moment (unit: μB/f.u.) for the preceding records, in sequence: 0.00; 0.00.